A relaxed structure of TlCuB2, computed with PBEsol.

Summary:
Uncorrected energy (eV per cell): -14.465
Theoretical density (g cm⁻³): 9.3
Energy of formation from the pure elements (eV per atom): 1.633
Energy above the most stable polymorph in this dataset (meV per atom): 883

Cell lengths 4.187, 4.187, 4.187 Å; angles 60.00, 60.00, 60.00 degrees
Fractional positions:
Tl 0.000 0.000 0.000
Cu 0.500 0.500 0.500
B 0.250 0.250 0.250
B 0.750 0.750 0.750

=====

A relaxed structure of TlCuB2, computed with PBEsol.

Summary:
Uncorrected energy (eV per cell): -35.992
Theoretical density (g cm⁻³): 9.3
Energy of formation from the pure elements (eV per atom): 0.750
Energy above the most stable polymorph in this dataset (meV per atom): 0

Cell lengths 7.795, 7.795, 7.795 Å; angles 152.14, 152.14, 39.81 degrees
Fractional positions:
Tl 0.375 0.625 0.750
Tl 0.625 0.375 0.250
Cu 0.125 0.875 0.250
Cu 0.875 0.125 0.750
B 0.000 0.000 0.000
B 0.000 0.000 0.500
B 0.000 0.500 0.000
B 0.500 0.000 0.500

=====

A relaxed structure of CuB2W, computed with PBEsol.

Summary:
Uncorrected energy (eV per cell): -29.687
Theoretical density (g cm⁻³): 11.5
Energy of formation from the pure elements (eV per atom): 0.622

Cell lengths 3.803, 3.803, 3.803 Å; angles 60.00, 60.00, 60.00 degrees
Fractional positions:
Cu 0.000 0.000 0.000
B 0.250 0.250 0.250
B 0.750 0.750 0.750
W 0.500 0.500 0.500

=====

A relaxed structure of DyB4, computed with PBEsol.

Summary:
Uncorrected energy (eV per cell): -145.007
Theoretical density (g cm⁻³): 6.9
Energy of formation from the pure elements (eV per atom): -0.642

Cell lengths 7.057, 7.057, 3.986 Å; angles 90.00, 90.00, 90.00 degrees
Fractional positions:
Dy 0.183 0.317 0.000
Dy 0.317 0.817 0.000
Dy 0.683 0.183 0.000
Dy 0.817 0.683 0.000
B 0.000 0.000 0.203
B 0.000 0.000 0.797
B 0.039 0.824 0.500
B 0.087 0.587 0.500
B 0.176 0.039 0.500
B 0.324 0.539 0.500
B 0.413 0.087 0.500
B 0.461 0.324 0.500
B 0.500 0.500 0.203
B 0.500 0.500 0.797
B 0.539 0.676 0.500
B 0.587 0.913 0.500
B 0.676 0.461 0.500
B 0.824 0.961 0.500
B 0.913 0.413 0.500
B 0.961 0.176 0.500

=====

A relaxed structure of Dy4B4O11F2, computed with PBEsol.

Summary:
Uncorrected energy (eV per cell): -354.624
Theoretical density (g cm⁻³): 7.3
Raw formation energy (eV/atom): -3.23

Cell lengths 7.023, 7.023, 13.550 Å; angles 91.44, 91.44, 37.95 degrees
Fractional positions:
Dy 0.039 0.078 0.370
Dy 0.078 0.039 0.870
Dy 0.203 0.236 0.130
Dy 0.236 0.203 0.630
Dy 0.764 0.797 0.370
Dy 0.797 0.764 0.870
Dy 0.922 0.961 0.130
Dy 0.961 0.922 0.630
B 0.360 0.447 0.478
B 0.382 0.431 0.787
B 0.431 0.382 0.287
B 0.447 0.360 0.978
B 0.553 0.640 0.022
B 0.569 0.618 0.713
B 0.618 0.569 0.213
B 0.640 0.553 0.522
O 0.083 0.758 0.466
O 0.118 0.687 0.277
O 0.137 0.508 0.744
O 0.242 0.917 0.034
O 0.274 0.552 0.896
O 0.313 0.882 0.223
O 0.323 0.446 0.070
O 0.339 0.661 0.750
O 0.446 0.323 0.570
O 0.448 0.726 0.604
O 0.492 0.863 0.756
O 0.508 0.137 0.244
O 0.552 0.274 0.396
O 0.554 0.677 0.430
O 0.661 0.339 0.250
O 0.677 0.554 0.930
O 0.687 0.118 0.777
O 0.726 0.448 0.104
O 0.758 0.083 0.966
O 0.863 0.492 0.256
O 0.882 0.313 0.723
O 0.917 0.242 0.534
F 0.204 0.258 0.423
F 0.258 0.204 0.923
F 0.742 0.796 0.077
F 0.796 0.742 0.577

=====

A relaxed structure of Dy3FeB7, computed with PBEsol.

Summary:
Uncorrected energy (eV per cell): -160.773
Theoretical density (g cm⁻³): 8.5
Energy of formation from the pure elements (eV per atom): -0.670

Cell lengths 7.965, 7.965, 9.228 Å; angles 90.00, 90.00, 155.54 degrees
Fractional positions:
Dy 0.105 0.895 0.560
Dy 0.105 0.895 0.940
Dy 0.243 0.757 0.250
Dy 0.757 0.243 0.750
Dy 0.895 0.105 0.060
Dy 0.895 0.105 0.440
Fe 0.054 0.946 0.250
Fe 0.946 0.054 0.750
B 0.272 0.728 0.532
B 0.272 0.728 0.968
B 0.370 0.630 0.653
B 0.370 0.630 0.847
B 0.460 0.540 0.250
B 0.478 0.522 0.598
B 0.478 0.522 0.902
B 0.522 0.478 0.098
B 0.522 0.478 0.402
B 0.540 0.460 0.750
B 0.630 0.370 0.153
B 0.630 0.370 0.347
B 0.728 0.272 0.032
B 0.728 0.272 0.468

=====

A relaxed structure of DyFe3B4O12, computed with PBEsol.

Summary:
Uncorrected energy (eV per cell): -493.521
Theoretical density (g cm⁻³): 4.9
Energy above the most stable polymorph in this dataset (meV per atom): 0
Raw formation energy (eV/atom): -2.08

Cell lengths 9.433, 9.433, 7.382 Å; angles 90.00, 90.00, 120.00 degrees
Fractional positions:
Dy 0.000 0.658 0.167
Dy 0.342 0.342 0.500
Dy 0.658 0.000 0.833
Fe 0.000 0.106 0.167
Fe 0.106 0.000 0.833
Fe 0.213 0.551 0.848
Fe 0.338 0.787 0.515
Fe 0.449 0.662 0.181
Fe 0.551 0.213 0.152
Fe 0.662 0.449 0.819
Fe 0.787 0.338 0.485
Fe 0.894 0.894 0.500
B 0.000 0.221 0.667
B 0.000 0.675 0.667
B 0.126 0.439 0.351
B 0.221 0.000 0.333
B 0.313 0.874 0.018
B 0.325 0.325 0.000
B 0.439 0.126 0.649
B 0.561 0.687 0.684
B 0.675 0.000 0.333
B 0.687 0.561 0.316
B 0.779 0.779 0.000
B 0.874 0.313 0.982
O 0.000 0.073 0.667
O 0.000 0.824 0.667
O 0.003 0.469 0.980
O 0.073 0.000 0.333
O 0.120 0.293 0.314
O 0.146 0.678 0.682
O 0.149 0.360 0.689
O 0.173 0.880 0.981
O 0.176 0.176 0.000
O 0.211 0.851 0.356
O 0.282 0.566 0.394
O 0.284 0.718 0.061
O 0.293 0.120 0.686
O 0.322 0.468 0.015
O 0.360 0.149 0.311
O 0.434 0.716 0.727
O 0.466 0.997 0.646
O 0.468 0.322 0.985
O 0.469 0.003 0.020
O 0.531 0.534 0.313
O 0.532 0.854 0.348
O 0.534 0.531 0.687
O 0.566 0.282 0.606
O 0.640 0.789 0.023
O 0.678 0.146 0.318
O 0.707 0.827 0.648
O 0.716 0.434 0.273
O 0.718 0.284 0.939
O 0.789 0.640 0.977
O 0.824 0.000 0.333
O 0.827 0.707 0.352
O 0.851 0.211 0.644
O 0.854 0.532 0.652
O 0.880 0.173 0.019
O 0.927 0.927 0.000
O 0.997 0.466 0.354

=====

A relaxed structure of DyFe3B4O12, computed with PBEsol.

Summary:
Uncorrected energy (eV per cell): -163.908
Theoretical density (g cm⁻³): 5.2
Energy above the most stable polymorph in this dataset (meV per atom): 30
Raw formation energy (eV/atom): -2.05

Cell lengths 5.880, 5.880, 5.880 Å; angles 104.60, 104.60, 104.60 degrees
Fractional positions:
Dy 0.000 0.000 0.000
Fe 0.000 0.561 0.439
Fe 0.439 0.000 0.561
Fe 0.561 0.439 0.000
B 0.062 0.500 0.938
B 0.500 0.500 0.500
B 0.500 0.938 0.062
B 0.938 0.062 0.500
O 0.031 0.633 0.779
O 0.087 0.913 0.500
O 0.221 0.367 0.969
O 0.351 0.649 0.500
O 0.367 0.969 0.221
O 0.500 0.087 0.913
O 0.500 0.351 0.649
O 0.633 0.779 0.031
O 0.649 0.500 0.351
O 0.779 0.031 0.633
O 0.913 0.500 0.087
O 0.969 0.221 0.367

=====

A relaxed structure of Dy3B7Mo, computed with PBEsol.

Summary:
Uncorrected energy (eV per cell): -166.226
Theoretical density (g cm⁻³): 8.5
Energy of formation from the pure elements (eV per atom): -0.663

Cell lengths 8.117, 8.117, 9.411 Å; angles 90.00, 90.00, 155.58 degrees
Fractional positions:
Dy 0.107 0.893 0.560
Dy 0.107 0.893 0.940
Dy 0.244 0.756 0.250
Dy 0.756 0.244 0.750
Dy 0.893 0.107 0.060
Dy 0.893 0.107 0.440
B 0.272 0.728 0.532
B 0.272 0.728 0.968
B 0.365 0.635 0.648
B 0.365 0.635 0.852
B 0.456 0.544 0.250
B 0.480 0.520 0.592
B 0.480 0.520 0.908
B 0.520 0.480 0.092
B 0.520 0.480 0.408
B 0.544 0.456 0.750
B 0.635 0.365 0.148
B 0.635 0.365 0.352
B 0.728 0.272 0.032
B 0.728 0.272 0.468
Mo 0.053 0.947 0.250
Mo 0.947 0.053 0.750

=====

A relaxed structure of Na2Dy2B2TeO10, computed with PBEsol.

Summary:
Uncorrected energy (eV per cell): -249.775
Theoretical density (g cm⁻³): 5.5
Raw formation energy (eV/atom): -2.48

Cell lengths 6.306, 9.925, 6.720 Å; angles 90.00, 103.85, 90.00 degrees
Fractional positions:
Na 0.086 0.112 0.169
Na 0.086 0.388 0.669
Na 0.914 0.612 0.331
Na 0.914 0.888 0.831
Dy 0.374 0.667 0.977
Dy 0.374 0.833 0.477
Dy 0.626 0.167 0.523
Dy 0.626 0.333 0.023
B 0.163 0.098 0.628
B 0.163 0.402 0.128
B 0.837 0.598 0.872
B 0.837 0.902 0.372
Te 0.500 0.000 0.000
Te 0.500 0.500 0.500
O 0.020 0.671 0.945
O 0.020 0.829 0.445
O 0.207 0.060 0.838
O 0.207 0.440 0.338
O 0.303 0.060 0.510
O 0.303 0.440 0.010
O 0.340 0.618 0.636
O 0.340 0.882 0.136
O 0.491 0.151 0.178
O 0.491 0.349 0.678
O 0.509 0.651 0.322
O 0.509 0.849 0.822
O 0.660 0.118 0.864
O 0.660 0.382 0.364
O 0.697 0.560 0.990
O 0.697 0.940 0.490
O 0.793 0.560 0.662
O 0.793 0.940 0.162
O 0.980 0.171 0.555
O 0.980 0.329 0.055

=====

A relaxed structure of DyNi2B2, computed with PBEsol.

Summary:
Uncorrected energy (eV per cell): -68.744
Theoretical density (g cm⁻³): 8.5
Energy of formation from the pure elements (eV per atom): -0.609

Cell lengths 4.911, 4.911, 6.789 Å; angles 120.74, 120.74, 63.95 degrees
Fractional positions:
Dy 0.120 0.880 0.750
Dy 0.880 0.120 0.250
Ni 0.278 0.468 0.300
Ni 0.468 0.278 0.800
Ni 0.532 0.722 0.200
Ni 0.722 0.532 0.700
B 0.156 0.505 0.976
B 0.495 0.844 0.524
B 0.505 0.156 0.476
B 0.844 0.495 0.024

=====

A relaxed structure of Dy3Ni19B10, computed with PBEsol.

Summary:
Uncorrected energy (eV per cell): -217.912
Theoretical density (g cm⁻³): 8.9
Energy of formation from the pure elements (eV per atom): -0.494

Cell lengths 7.801, 7.801, 5.701 Å; angles 91.21, 91.21, 67.02 degrees
Fractional positions:
Dy 0.000 0.000 0.000
Dy 0.374 0.374 0.613
Dy 0.626 0.626 0.387
Ni 0.000 0.000 0.500
Ni 0.045 0.517 0.302
Ni 0.122 0.623 0.926
Ni 0.162 0.162 0.703
Ni 0.183 0.183 0.270
Ni 0.229 0.711 0.301
Ni 0.289 0.771 0.699
Ni 0.377 0.878 0.074
Ni 0.378 0.378 0.127
Ni 0.483 0.955 0.698
Ni 0.517 0.045 0.302
Ni 0.622 0.622 0.873
Ni 0.623 0.122 0.926
Ni 0.711 0.229 0.301
Ni 0.771 0.289 0.699
Ni 0.817 0.817 0.730
Ni 0.838 0.838 0.297
Ni 0.878 0.377 0.074
Ni 0.955 0.483 0.698
B 0.064 0.700 0.570
B 0.141 0.351 0.974
B 0.300 0.936 0.430
B 0.351 0.141 0.974
B 0.384 0.616 0.000
B 0.616 0.384 0.000
B 0.649 0.859 0.026
B 0.700 0.064 0.570
B 0.859 0.649 0.026
B 0.936 0.300 0.430